## Cd5InHg7 (PBE-GGA)

Data for Cd5InHg7 after structural relaxation.

Calculated values
Fermi-level density of states ... 8.542 states/eV per cell
E_form ... 0.47 eV per formula unit
Offset from the most stable computed form ... 20 meV per atom
Crystal system ... orthorhombic

Geometry as CIF:
```
data_Cd5InHg7
_cell_length_a 6.1796
_cell_length_b 10.4808
_cell_length_c 10.3826
_cell_angle_alpha 90.00
_cell_angle_beta 90.00
_cell_angle_gamma 90.00
_space_group_name_H-M_alt 'I m m 2'
_space_group_IT_number 44
loop_
_space_group_symop_operation_xyz
'x,y,z'
'-x,-y,z'
'-x,y,z'
'x,-y,z'
'x+1/2,y+1/2,z+1/2'
'-x+1/2,-y+1/2,z+1/2'
'-x+1/2,y+1/2,z+1/2'
'x+1/2,-y+1/2,z+1/2'
loop_
_atom_site_label
_atom_site_type_symbol
_atom_site_fract_x
_atom_site_fract_y
_atom_site_fract_z
Cd1 Cd 0.0000 0.0000 0.0000
Cd2 Cd 0.2476 0.2560 0.9928
In1 In 0.0000 0.5000 0.8223
Hg1 Hg 0.0000 0.0000 0.4821
Hg2 Hg 0.0000 0.1640 0.7450
Hg3 Hg 0.0000 0.1810 0.2393
Hg4 Hg 0.0000 0.5000 0.2034
Hg5 Hg 0.0000 0.5000 0.5148
```

## NaLa4Co2 (PBE-GGA)

Data for NaLa4Co2 after structural relaxation.

Calculated values
Fermi-level density of states ... 11.534 states/eV per cell
E_form ... -0.30 eV per formula unit
Crystal system ... monoclinic

Geometry as CIF:
```
data_NaLa4Co2
_cell_length_a 18.1351
_cell_length_b 3.9858
_cell_length_c 6.2396
_cell_angle_alpha 90.00
_cell_angle_beta 100.09
_cell_angle_gamma 90.00
_space_group_name_H-M_alt 'C 1 2/m 1'
_space_group_IT_number 12
loop_
_space_group_symop_operation_xyz
'x,y,z'
'-x,-y,-z'
'-x,y,-z'
'x,-y,z'
'x+1/2,y+1/2,z'
'-x+1/2,-y+1/2,-z'
'-x+1/2,y+1/2,-z'
'x+1/2,-y+1/2,z'
loop_
_atom_site_label
_atom_site_type_symbol
_atom_site_fract_x
_atom_site_fract_y
_atom_site_fract_z
Na1 Na 0.0000 0.0000 0.0000
La1 La 0.1328 0.0000 0.5620
La2 La 0.1808 0.5000 0.1116
Co1 Co 0.2321 0.5000 0.6593
```

## Dy2HgH (PBE-GGA)

Data for Dy2HgH after structural relaxation.

Calculated values
Fermi-level density of states ... 11.291 states/eV per cell
Offset from the most stable computed form ... 133 meV per atom
Crystal system ... trigonal

Geometry as CIF:
```
data_Dy2HgH
_cell_length_a 3.6367
_cell_length_b 3.6367
_cell_length_c 22.5549
_cell_angle_alpha 90.00
_cell_angle_beta 90.00
_cell_angle_gamma 120.00
_space_group_name_H-M_alt 'R -3 m'
_space_group_IT_number 166
_space_group_name_Hall '-R 3 2"'
loop_
_atom_site_label
_atom_site_type_symbol
_atom_site_fract_x
_atom_site_fract_y
_atom_site_fract_z
Dy1 Dy 0.0000 0.0000 0.2269
Hg1 Hg 0.0000 0.0000 0.0000
H1 H 0.0000 0.0000 0.5000
```

## BaLa2Br8 (PBE-GGA)

Data for BaLa2Br8 after structural relaxation.

Calculated values
Fermi-level density of states ... 0.000 states/eV per cell
Uncorrected formation energy ... -1984 meV/atom
Crystal system ... tetragonal

Geometry as CIF:
```
data_BaLa2Br8
_cell_length_a 13.9188
_cell_length_b 13.9188
_cell_length_c 8.4261
_cell_angle_alpha 90.00
_cell_angle_beta 90.00
_cell_angle_gamma 90.00
_space_group_name_H-M_alt 'I -4'
_space_group_IT_number 82
loop_
_space_group_symop_operation_xyz
'x,y,z'
'y,-x,-z'
'-x,-y,z'
'-y,x,-z'
'x+1/2,y+1/2,z+1/2'
'y+1/2,-x+1/2,-z+1/2'
'-x+1/2,-y+1/2,z+1/2'
'-y+1/2,x+1/2,-z+1/2'
loop_
_atom_site_label
_atom_site_type_symbol
_atom_site_fract_x
_atom_site_fract_y
_atom_site_fract_z
Ba1 Ba 0.0000 0.0000 0.0000
Ba2 Ba 0.0000 0.5000 0.2500
La1 La 0.1365 0.2901 0.7023
Br1 Br 0.0279 0.7384 0.9388
Br2 Br 0.0451 0.6421 0.5411
Br3 Br 0.0869 0.8881 0.3061
Br4 Br 0.1734 0.2518 0.3475
```